Below is a relaxed Ca2TbPaS6 crystal, with properties calculated at the PBE-GGA level.

Computed properties:
The value obtained for the uncorrected energy is -61.88 eV for the cell shown. As for the space-group type: No. 146. The calculation puts the size of the total moment at 0.00 Bohr magnetons per cell.

CIF file:
```
data_Ca2TbPaS6
_chemical_formula_sum 'Ca2 Tb1 Pa1 S6'
_cell_length_a 6.999
_cell_length_b 6.999
_cell_length_c 7.387
_cell_angle_alpha 61.72
_cell_angle_beta 61.72
_cell_angle_gamma 60.00
_symmetry_space_group_name_H-M 'P 1'
_symmetry_Int_Tables_number 1
loop_
_symmetry_equiv_pos_as_xyz
'x,y,z'
loop_
_atom_site_label
_atom_site_type_symbol
_atom_site_fract_x
_atom_site_fract_y
_atom_site_fract_z
Ca1 Ca 0.524 0.524 0.427
Ca2 Ca 0.020 0.020 0.940
Tb1 Tb 0.817 0.817 0.549
Pa1 Pa 0.322 0.321 0.035
S1 S 0.592 0.199 0.258
S2 S 0.199 0.951 0.258
S3 S 0.951 0.592 0.258
S4 S 0.434 0.695 0.763
S5 S 0.695 0.107 0.763
S6 S 0.107 0.434 0.763
```


Below is a relaxed Tl2Pd7Pt2 crystal, with properties calculated at the PBE-GGA level.

Computed properties:
As for the space-group type: No. 2. The calculation puts the energy above the lowest structure with this stoichiometry at 0.0 kJ/mol of formula units. The calculation puts the size of the total moment at 0.00 Bohr magnetons per cell. Its formation energy from the elements is -10 meV per atom.

CIF file:
```
data_Tl2Pd7Pt2
_chemical_formula_sum 'Tl2 Pd7 Pt2'
_cell_length_a 4.861
_cell_length_b 6.370
_cell_length_c 7.539
_cell_angle_alpha 83.16
_cell_angle_beta 95.24
_cell_angle_gamma 57.81
_symmetry_space_group_name_H-M 'P 1'
_symmetry_Int_Tables_number 1
loop_
_symmetry_equiv_pos_as_xyz
'x,y,z'
loop_
_atom_site_label
_atom_site_type_symbol
_atom_site_fract_x
_atom_site_fract_y
_atom_site_fract_z
Tl1 Tl 0.430 0.212 0.773
Tl2 Tl 0.570 0.788 0.227
Pd1 Pd 0.331 0.907 0.579
Pd2 Pd 0.668 0.573 0.913
Pd3 Pd 0.669 0.093 0.421
Pd4 Pd 0.332 0.427 0.087
Pd5 Pd 0.000 0.000 0.000
Pd6 Pd 0.815 0.405 0.589
Pd7 Pd 0.185 0.595 0.411
Pt1 Pt 0.001 0.266 0.260
Pt2 Pt 0.999 0.734 0.740
```


Below is a relaxed Cs2KInAs2 crystal, with properties calculated at the PBE-GGA level.

Computed properties:
As for the space-group type: No. 72. The calculation puts the size of the total moment at 0.00 Bohr magnetons per cell. Its formation energy from the elements is -475 meV per atom.

CIF file:
```
data_Cs2KInAs2
_chemical_formula_sum 'Cs4 K2 In2 As4'
_cell_length_a 7.792
_cell_length_b 7.210
_cell_length_c 9.779
_cell_angle_alpha 111.63
_cell_angle_beta 113.48
_cell_angle_gamma 90.00
_symmetry_space_group_name_H-M 'P 1'
_symmetry_Int_Tables_number 1
loop_
_symmetry_equiv_pos_as_xyz
'x,y,z'
loop_
_atom_site_label
_atom_site_type_symbol
_atom_site_fract_x
_atom_site_fract_y
_atom_site_fract_z
Cs1 Cs 0.442 0.176 0.352
Cs2 Cs 0.558 0.824 0.648
Cs3 Cs 0.090 0.324 0.648
Cs4 Cs 0.910 0.676 0.352
K1 K 0.000 0.750 0.000
K2 K 0.000 0.250 0.000
In1 In 0.500 0.750 0.000
In2 In 0.500 0.250 0.000
As1 As 0.784 0.091 0.182
As2 As 0.398 0.591 0.182
As3 As 0.602 0.409 0.818
As4 As 0.216 0.909 0.818
```


Below is a relaxed TcNi2Cl crystal, with properties calculated at the PBE-GGA level.

Computed properties:
As for the space-group type: No. 12. The calculation puts the energy above the lowest structure with this stoichiometry at 151.0 kJ/mol of formula units. The calculation puts the size of the total moment at 1.81 Bohr magnetons per cell.

CIF file:
```
data_TcNi2Cl
_chemical_formula_sum 'Tc1 Ni2 Cl1'
_cell_length_a 5.030
_cell_length_b 5.030
_cell_length_c 4.376
_cell_angle_alpha 64.30
_cell_angle_beta 64.30
_cell_angle_gamma 31.77
_symmetry_space_group_name_H-M 'P 1'
_symmetry_Int_Tables_number 1
loop_
_symmetry_equiv_pos_as_xyz
'x,y,z'
loop_
_atom_site_label
_atom_site_type_symbol
_atom_site_fract_x
_atom_site_fract_y
_atom_site_fract_z
Cl1 Cl 0.250 0.250 0.250
Ni1 Ni 0.990 0.990 0.010
Ni2 Ni 0.510 0.510 0.490
Tc1 Tc 0.750 0.750 0.750
```